VASP calculation (PBE) on a relaxed structure of Ba3In3Ag.

## Properties
spin magnetization = 0.00 μB/atom
volume = 37.1 Å³/atom
space group = C2/m (12)
N(E_F) = 15.03 states/eV per cell
ΔH_f (0 K) = -355 meV per atom

The structure in CIF format:
```
data_Ba3In3Ag
_space_group_name_H-M_alt 'P 1'
_space_group_IT_number 1
_cell_length_a 5.285
_cell_length_b 6.640
_cell_length_c 16.363
_cell_angle_alpha 87.34
_cell_angle_beta 80.71
_cell_angle_gamma 66.55
loop_
_space_group_symop_operation_xyz
'x,y,z'
loop_
_atom_site_label
_atom_site_type_symbol
_atom_site_fract_x
_atom_site_fract_y
_atom_site_fract_z
_atom_site_occupancy
In1 In 0.944 0.874 0.237 1
Ag1 Ag 0.751 0.099 0.400 1
Ba1 Ba 0.242 0.282 0.235 1
Ba2 Ba 0.542 0.303 0.614 1
Ba3 Ba 0.394 0.286 0.925 1
Ba4 Ba 0.758 0.718 0.765 1
Ba5 Ba 0.458 0.697 0.386 1
In2 In 0.102 0.876 0.919 1
In3 In 0.898 0.124 0.081 1
In4 In 0.139 0.263 0.460 1
Ag2 Ag 0.249 0.901 0.600 1
In5 In 0.056 0.126 0.763 1
Ba6 Ba 0.606 0.714 0.075 1
In6 In 0.861 0.737 0.540 1
```

---

VASP calculation (PBE) on a relaxed structure of YHg2P.

## Properties
spin magnetization = 0.00 μB/atom
volume = 24.1 Å³/atom
space group = Pm (6)
N(E_F) = 1.15 states/eV per cell
ΔH_f (0 K) = -519 meV per atom

The structure in CIF format:
```
data_YHg2P
_space_group_name_H-M_alt 'P 1'
_space_group_IT_number 1
_cell_length_a 3.923
_cell_length_b 4.013
_cell_length_c 6.433
_cell_angle_alpha 72.18
_cell_angle_beta 90.00
_cell_angle_gamma 90.00
loop_
_space_group_symop_operation_xyz
'x,y,z'
loop_
_atom_site_label
_atom_site_type_symbol
_atom_site_fract_x
_atom_site_fract_y
_atom_site_fract_z
_atom_site_occupancy
Hg1 Hg 0.000 0.965 0.953 1
Y1 Y 0.500 0.254 0.361 1
Hg2 Hg 0.500 0.543 0.793 1
P1 P 0.000 0.738 0.393 1
```

---

VASP calculation (PBE) on a relaxed structure of Ca2MgSbH.

## Properties
spin magnetization = 0.00 μB/atom
uncorrected energy = -3.10 eV per atom
volume = 22.3 Å³/atom
space group = P4/mmm (123)
N(E_F) = 1.68 states/eV per cell

The structure in CIF format:
```
data_Ca2MgSbH
_space_group_name_H-M_alt 'P 1'
_space_group_IT_number 1
_cell_length_a 4.979
_cell_length_b 4.979
_cell_length_c 4.504
_cell_angle_alpha 90.00
_cell_angle_beta 90.00
_cell_angle_gamma 90.00
loop_
_space_group_symop_operation_xyz
'x,y,z'
loop_
_atom_site_label
_atom_site_type_symbol
_atom_site_fract_x
_atom_site_fract_y
_atom_site_fract_z
_atom_site_occupancy
H1 H 0.000 0.000 0.000 1
Ca1 Ca 0.000 0.500 0.000 1
Mg1 Mg 0.000 0.000 0.500 1
Ca2 Ca 0.500 0.000 0.000 1
Sb1 Sb 0.500 0.500 0.500 1
```

---

VASP calculation (PBE) on a relaxed structure of MnOsRh2.

## Properties
spin magnetization = 0.64 μB/atom
volume = 13.9 Å³/atom
space group = Cmmm (65)
N(E_F) = 4.37 states/eV per cell
ΔH_f (0 K) = -14 meV per atom

The structure in CIF format:
```
data_MnOsRh2
_space_group_name_H-M_alt 'P 1'
_space_group_IT_number 1
_cell_length_a 4.655
_cell_length_b 4.655
_cell_length_c 2.714
_cell_angle_alpha 90.00
_cell_angle_beta 90.00
_cell_angle_gamma 109.38
loop_
_space_group_symop_operation_xyz
'x,y,z'
loop_
_atom_site_label
_atom_site_type_symbol
_atom_site_fract_x
_atom_site_fract_y
_atom_site_fract_z
_atom_site_occupancy
Rh1 Rh 0.000 0.000 0.000 1
Mn1 Mn 0.500 0.000 0.500 1
Rh2 Rh 0.500 0.500 0.000 1
Os1 Os 0.000 0.500 0.500 1
```

---

VASP calculation (PBE) on a relaxed structure of TcBr.

## Properties
spin magnetization = 0.00 μB/atom
uncorrected energy = -5.88 eV per atom
volume = 22.1 Å³/atom
space group = P2_1/m (11)
N(E_F) = 4.92 states/eV per cell

The structure in CIF format:
```
data_TcBr
_space_group_name_H-M_alt 'P 1'
_space_group_IT_number 1
_cell_length_a 3.028
_cell_length_b 3.238
_cell_length_c 9.016
_cell_angle_alpha 89.18
_cell_angle_beta 90.00
_cell_angle_gamma 90.00
loop_
_space_group_symop_operation_xyz
'x,y,z'
loop_
_atom_site_label
_atom_site_type_symbol
_atom_site_fract_x
_atom_site_fract_y
_atom_site_fract_z
_atom_site_occupancy
Br1 Br 0.500 0.613 0.680 1
Tc1 Tc 0.000 0.622 0.455 1
Br2 Br 0.000 0.137 0.070 1
Tc2 Tc 0.500 0.128 0.295 1
```

---

VASP calculation (PBE) on a relaxed structure of RbMgMnSe3.

## Properties
spin magnetization = 0.67 μB/atom
uncorrected energy = -4.61 eV per atom
volume = 29.1 Å³/atom
space group = P2_1/m (11)
N(E_F) = 1.21 states/eV per cell

The structure in CIF format:
```
data_RbMgMnSe3
_space_group_name_H-M_alt 'P 1'
_space_group_IT_number 1
_cell_length_a 3.863
_cell_length_b 8.012
_cell_length_c 12.207
_cell_angle_alpha 112.58
_cell_angle_beta 90.00
_cell_angle_gamma 90.00
loop_
_space_group_symop_operation_xyz
'x,y,z'
loop_
_atom_site_label
_atom_site_type_symbol
_atom_site_fract_x
_atom_site_fract_y
_atom_site_fract_z
_atom_site_occupancy
Mn1 Mn 0.750 0.341 0.881 1
Mn2 Mn 0.250 0.659 0.119 1
Se1 Se 0.750 0.238 0.529 1
Se2 Se 0.250 0.762 0.471 1
Rb1 Rb 0.250 0.296 0.302 1
Mg1 Mg 0.750 0.887 0.390 1
Se3 Se 0.750 0.882 0.175 1
Se4 Se 0.250 0.118 0.825 1
Rb2 Rb 0.750 0.704 0.698 1
Se5 Se 0.750 0.447 0.114 1
Mg2 Mg 0.250 0.113 0.610 1
Se6 Se 0.250 0.553 0.886 1
```

---

VASP calculation (PBE) on a relaxed structure of Sb3AsI.

## Properties
spin magnetization = 0.00 μB/atom
uncorrected energy = -2.33 eV per atom
volume = 37.4 Å³/atom
space group = Pm-3m (221)
N(E_F) = 6.56 states/eV per cell

The structure in CIF format:
```
data_Sb3AsI
_space_group_name_H-M_alt 'P 1'
_space_group_IT_number 1
_cell_length_a 5.720
_cell_length_b 5.720
_cell_length_c 5.720
_cell_angle_alpha 90.00
_cell_angle_beta 90.00
_cell_angle_gamma 90.00
loop_
_space_group_symop_operation_xyz
'x,y,z'
loop_
_atom_site_label
_atom_site_type_symbol
_atom_site_fract_x
_atom_site_fract_y
_atom_site_fract_z
_atom_site_occupancy
Sb1 Sb 0.000 0.500 0.000 1
As1 As 0.500 0.500 0.500 1
Sb2 Sb 0.500 0.000 0.000 1
I1 I 0.000 0.000 0.000 1
Sb3 Sb 0.000 0.000 0.500 1
```

---

VASP calculation (PBE) on a relaxed structure of Ac2ScOs2N6.

## Properties
spin magnetization = 0.00 μB/atom
uncorrected energy = -8.43 eV per atom
volume = 15.9 Å³/atom
space group = R-3m (166)
N(E_F) = 7.02 states/eV per cell

The structure in CIF format:
```
data_Ac2ScOs2N6
_space_group_name_H-M_alt 'P 1'
_space_group_IT_number 1
_cell_length_a 5.814
_cell_length_b 5.814
_cell_length_c 6.866
_cell_angle_alpha 64.95
_cell_angle_beta 64.95
_cell_angle_gamma 60.00
loop_
_space_group_symop_operation_xyz
'x,y,z'
loop_
_atom_site_label
_atom_site_type_symbol
_atom_site_fract_x
_atom_site_fract_y
_atom_site_fract_z
_atom_site_occupancy
N1 N 0.250 0.770 0.731 1
N2 N 0.770 0.250 0.731 1
N3 N 0.250 0.250 0.731 1
N4 N 0.750 0.230 0.269 1
Os1 Os 0.395 0.395 0.814 1
Ac1 Ac 0.787 0.787 0.638 1
N5 N 0.750 0.750 0.269 1
Os2 Os 0.605 0.605 0.186 1
Sc1 Sc 0.000 0.000 0.000 1
N6 N 0.230 0.750 0.269 1
Ac2 Ac 0.213 0.213 0.362 1
```

---

VASP calculation (PBE) on a relaxed structure of BeReSe.

## Properties
spin magnetization = 0.00 μB/atom
uncorrected energy = -5.60 eV per atom
volume = 15.4 Å³/atom
space group = F-43m (216)
N(E_F) = 2.44 states/eV per cell

The structure in CIF format:
```
data_BeReSe
_space_group_name_H-M_alt 'P 1'
_space_group_IT_number 1
_cell_length_a 4.026
_cell_length_b 4.026
_cell_length_c 4.026
_cell_angle_alpha 60.00
_cell_angle_beta 60.00
_cell_angle_gamma 60.00
loop_
_space_group_symop_operation_xyz
'x,y,z'
loop_
_atom_site_label
_atom_site_type_symbol
_atom_site_fract_x
_atom_site_fract_y
_atom_site_fract_z
_atom_site_occupancy
Se1 Se 0.750 0.750 0.750 1
Be1 Be 0.000 0.000 0.000 1
Re1 Re 0.500 0.500 0.500 1
```

---

VASP calculation (PBE) on a relaxed structure of Mn2NiIrN.

## Properties
spin magnetization = 1.25 μB/atom
uncorrected energy = -8.35 eV per atom
volume = 11.4 Å³/atom
space group = P4/mmm (123)
N(E_F) = 5.92 states/eV per cell

The structure in CIF format:
```
data_Mn2NiIrN
_space_group_name_H-M_alt 'P 1'
_space_group_IT_number 1
_cell_length_a 3.889
_cell_length_b 3.889
_cell_length_c 3.782
_cell_angle_alpha 90.00
_cell_angle_beta 90.00
_cell_angle_gamma 90.00
loop_
_space_group_symop_operation_xyz
'x,y,z'
loop_
_atom_site_label
_atom_site_type_symbol
_atom_site_fract_x
_atom_site_fract_y
_atom_site_fract_z
_atom_site_occupancy
N1 N 0.000 0.000 0.000 1
Mn1 Mn 0.000 0.500 0.000 1
Ir1 Ir 0.500 0.500 0.500 1
Ni1 Ni 0.000 0.000 0.500 1
Mn2 Mn 0.500 0.000 0.000 1
```

---

VASP calculation (PBE) on a relaxed structure of RbH4I2N.

## Properties
spin magnetization = 0.00 μB/atom
uncorrected energy = -3.94 eV per atom
volume = 25.3 Å³/atom
space group = Fddd (70)
N(E_F) = 0.00 states/eV per cell

The structure in CIF format:
```
data_RbH4I2N
_space_group_name_H-M_alt 'P 1'
_space_group_IT_number 1
_cell_length_a 10.373
_cell_length_b 7.352
_cell_length_c 9.112
_cell_angle_alpha 66.32
_cell_angle_beta 55.30
_cell_angle_gamma 45.13
loop_
_space_group_symop_operation_xyz
'x,y,z'
loop_
_atom_site_label
_atom_site_type_symbol
_atom_site_fract_x
_atom_site_fract_y
_atom_site_fract_z
_atom_site_occupancy
H1 H 0.655 0.884 0.922 1
Rb1 Rb 0.750 0.500 0.500 1
H2 H 0.461 0.884 0.078 1
N1 N 0.250 0.500 0.500 1
H3 H 0.289 0.616 0.422 1
H4 H 0.095 0.616 0.578 1
H5 H 0.327 0.384 0.578 1
I1 I 0.256 0.000 0.488 1
H6 H 0.461 0.116 0.078 1
I2 I 0.006 0.500 0.988 1
N2 N 0.500 0.000 0.000 1
Rb2 Rb 0.000 0.000 0.000 1
I3 I 0.494 0.500 0.012 1
I4 I 0.744 0.000 0.512 1
H7 H 0.423 0.116 0.922 1
H8 H 0.289 0.384 0.422 1
```

---

VASP calculation (PBE) on a relaxed structure of TiRePO2.

## Properties
spin magnetization = 0.77 μB/atom
uncorrected energy = -7.81 eV per atom
volume = 15.2 Å³/atom
space group = P4/mmm (123)
N(E_F) = 1.97 states/eV per cell

The structure in CIF format:
```
data_TiRePO2
_space_group_name_H-M_alt 'P 1'
_space_group_IT_number 1
_cell_length_a 3.704
_cell_length_b 3.704
_cell_length_c 5.534
_cell_angle_alpha 90.00
_cell_angle_beta 90.00
_cell_angle_gamma 90.00
loop_
_space_group_symop_operation_xyz
'x,y,z'
loop_
_atom_site_label
_atom_site_type_symbol
_atom_site_fract_x
_atom_site_fract_y
_atom_site_fract_z
_atom_site_occupancy
O1 O 0.500 0.000 0.000 1
O2 O 0.000 0.500 0.000 1
Ti1 Ti 0.000 0.000 0.000 1
Re1 Re 0.500 0.500 0.500 1
P1 P 0.000 0.000 0.500 1
```

---

Repeat the eleventh record exactly.
VASP calculation (PBE) on a relaxed structure of RbH4I2N.

## Properties
spin magnetization = 0.00 μB/atom
uncorrected energy = -3.94 eV per atom
volume = 25.3 Å³/atom
space group = Fddd (70)
N(E_F) = 0.00 states/eV per cell

The structure in CIF format:
```
data_RbH4I2N
_space_group_name_H-M_alt 'P 1'
_space_group_IT_number 1
_cell_length_a 10.373
_cell_length_b 7.352
_cell_length_c 9.112
_cell_angle_alpha 66.32
_cell_angle_beta 55.30
_cell_angle_gamma 45.13
loop_
_space_group_symop_operation_xyz
'x,y,z'
loop_
_atom_site_label
_atom_site_type_symbol
_atom_site_fract_x
_atom_site_fract_y
_atom_site_fract_z
_atom_site_occupancy
H1 H 0.655 0.884 0.922 1
Rb1 Rb 0.750 0.500 0.500 1
H2 H 0.461 0.884 0.078 1
N1 N 0.250 0.500 0.500 1
H3 H 0.289 0.616 0.422 1
H4 H 0.095 0.616 0.578 1
H5 H 0.327 0.384 0.578 1
I1 I 0.256 0.000 0.488 1
H6 H 0.461 0.116 0.078 1
I2 I 0.006 0.500 0.988 1
N2 N 0.500 0.000 0.000 1
Rb2 Rb 0.000 0.000 0.000 1
I3 I 0.494 0.500 0.012 1
I4 I 0.744 0.000 0.512 1
H7 H 0.423 0.116 0.922 1
H8 H 0.289 0.384 0.422 1
```